[1]
Pr2Al3Ag4Sn: optimized geometry, PBE.

Structure (POSCAR):
```
Pr2Al3Ag4Sn
1.0
4.4109 0.0000 0.0000
0.0000 4.4109 0.0000
0.0000 0.0000 11.2979
Pr Al Ag Sn
2 3 4 1
Cartesian
0.0000 2.2055 2.7331
2.2055 0.0000 8.5648
0.0000 2.2055 9.8540
2.2055 0.0000 1.4439
2.2055 2.2055 5.6490
0.0000 0.0000 0.0000
0.0000 2.2055 7.3162
2.2055 0.0000 3.9818
2.2055 2.2055 0.0000
0.0000 0.0000 5.6490
```

Calculated values
crystal system = tetragonal
ΔE_f = -0.34 eV/atom

---

[2]
Tb2PrAl2Ag2: optimized geometry, PBE.

Structure (POSCAR):
```
Tb2PrAl2Ag2
1.0
2.3538 1.3589 9.0375
-2.3538 1.3589 9.0375
0.0000 -2.7179 9.0375
Tb Pr Al Ag
2 1 2 2
Cartesian
0.0000 0.0000 3.4689
0.0000 0.0000 23.6436
0.0000 0.0000 0.0000
0.0000 0.0000 6.9757
0.0000 0.0000 20.1369
0.0000 0.0000 11.0003
0.0000 0.0000 16.1123
```

Calculated values
crystal system = trigonal
ΔE_f = -0.28 eV/atom

---

[3]
Pr2AlAgTe5: optimized geometry, PBE.

Structure (POSCAR):
```
Pr2AlAgTe5
1.0
2.1601 -9.8524 0.0000
2.1601 9.8524 0.0000
0.0000 0.0000 12.8355
Pr Al Ag Te
4 2 2 10
Cartesian
2.1601 7.5536 6.4177
2.1601 7.3357 1.5192
2.1601 -7.3357 7.9370
2.1601 -7.5536 0.0000
2.1601 1.5127 3.5515
2.1601 -1.5127 9.9692
2.1601 5.5408 10.7445
2.1601 -5.5408 4.3268
2.1601 9.0149 11.4045
2.1601 4.1751 6.2729
2.1601 3.7159 2.1245
2.1601 2.7221 10.4330
2.1601 0.0693 1.3158
2.1601 -0.0693 7.7335
2.1601 -2.7221 4.0152
2.1601 -3.7159 8.5422
2.1601 -4.1751 12.6906
2.1601 -9.0149 4.9868
```

Calculated values
ΔE_f (raw) = -0.91 eV/atom
crystal system = orthorhombic